Here is an optimized crystal structure of Ho6Tm3Zr from Alexandria. Energies are from PBE.

a b c (Å): 6.7672 6.7672 6.7672
angles (deg): 90.88 90.88 90.88
Atoms (fractional coordinates):
Ho  0.0049  0.3416  0.6535
Ho  0.1653  0.8507  0.4950
Ho  0.3416  0.6535  0.0049
Ho  0.4950  0.1653  0.8507
Ho  0.6535  0.0049  0.3416
Ho  0.8507  0.4950  0.1653
Tm  0.0491  0.0491  0.0491
Tm  0.5369  0.5369  0.5369
Tm  0.7987  0.7987  0.7987
Zr  0.2963  0.2963  0.2963

Properties
The calculation puts the density of states at the Fermi level at 18.2 states/eV/cell. The calculation puts the formation energy from the elements at 0.266 eV/atom. The total moment is 1.969 μB/f.u. For the density, the calculation gives 8510 kg/m3. The calculation puts the excess energy over the best structure of this formula in the dataset at 116.8 meV/atom. The calculation puts the electronic total energy at -46.8 eV per formula unit.